# HfZn2Si | Alexandria | PBE | optimized geometry
# E_form (uncorrected) in kJ/mol of atoms: -0.1
data_HfZn2Si
_chemical_formula_sum 'Hf4 Zn8 Si4'
_symmetry_space_group_name_H-M 'I -4 2 d'
_symmetry_Int_Tables_number 122
_symmetry_space_group_name_Hall 'I -4 2bw'
_cell_length_a 7.2820
_cell_length_b 7.2820
_cell_length_c 5.2801
_cell_angle_alpha 90.00
_cell_angle_beta 90.00
_cell_angle_gamma 90.00
loop_
_atom_site_label
_atom_site_type_symbol
_atom_site_fract_x
_atom_site_fract_y
_atom_site_fract_z
Hf1 Hf 0.0000 0.0000 0.0000
Zn1 Zn 0.2109 0.2500 0.6250
Si1 Si 0.0000 0.0000 0.5000